one.
Entry from OQMD: crystalline LaNdCl6 at its relaxed geometry (PBE).

For the size of the total moment, the calculation gives 0.0 μB/cell.

a b c (Å): 8.725 4.064 12.419
angles (deg): 90.00 90.00 90.00
Space group Amm2 (No. 38)
Unique sites:
La  0.000  0.000  0.000 [2 per cell]
Nd  0.500  0.000  0.515 [2 per cell]
Cl  0.000  0.000  0.345 [2 per cell]
Cl  0.187  0.000  0.607 [4 per cell]
Cl  0.318  0.000  0.909 [4 per cell]
Cl  0.500  0.000  0.167 [2 per cell]

---

two.
Entry from OQMD: crystalline LaNdCl6 at its relaxed geometry (PBE).

For the size of the total moment, the calculation gives 0.0 μB/cell.

a b c (Å): 7.5054 7.5054 4.3089
angles (deg): 90.00 90.00 120.00
Space group P-6 (No. 174)
Unique sites:
La  0.0000  0.0000  0.0000 [1 per cell]
Nd  0.3333  0.6667  0.5000 [1 per cell]
Cl  0.0586  0.6359  0.0000 [3 per cell]
Cl  0.2787  0.0287  0.5000 [3 per cell]

---

Order of stability, best first: two, one

---

one.
Entry from OQMD: crystalline Mo2Cl at its relaxed geometry (PBE).

For the size of the total moment, the calculation gives 72.0 μB/cell.

a b c (Å): 11.313 11.313 11.313
angles (deg): 90.00 90.00 90.00
Space group Fd-3m (No. 227, origin choice 2)
Unique sites:
Mo  0.000  0.000  0.000 [16 per cell]
Cl  0.125  0.125  0.125 [8 per cell]

---

two.
Entry from OQMD: crystalline Mo2Cl at its relaxed geometry (PBE).

For the size of the total moment, the calculation gives 0.1 μB/cell.

a b c (Å): 7.554 7.554 7.554
angles (deg): 90.00 90.00 90.00
Space group Fd-3m (No. 227, origin choice 2)
Unique sites:
Mo  0.000  0.000  0.000 [16 per cell]
Cl  0.125  0.125  0.625 [8 per cell]

---

Order of stability, best first: two, one